The following is a DFT calculation (PBE-GGA) of SrCaCo2 after structural relaxation.

Lattice parameters (Å, degrees): 7.8142 7.8142 5.9794 90.00 90.00 90.00
With the nearest neighbours (Å) after each atom.
Sites, in units of the cell vectors:
Sr 0.0000 0.0000 0.0000  4 Co 2.91, 2 Ca 2.99
Sr 0.0000 0.5000 0.2500  4 Co 2.91, 2 Ca 2.99
Sr 0.5000 0.0000 0.7500  4 Co 2.91, 2 Ca 2.99
Sr 0.5000 0.5000 0.5000  4 Co 2.91, 2 Ca 2.99
Ca 0.0000 0.0000 0.5000  4 Co 2.81, 2 Sr 2.99
Ca 0.0000 0.5000 0.7500  4 Co 2.81, 2 Sr 2.99
Ca 0.5000 0.0000 0.2500  4 Co 2.81, 2 Sr 2.99
Ca 0.5000 0.5000 0.0000  4 Co 2.81, 2 Sr 2.99
Co 0.2405 0.2500 0.6250  2 Ca 2.81, 2 Sr 2.91, 2 Co 2.99
Co 0.2500 0.7405 0.8750  2 Ca 2.81, 2 Sr 2.91, 2 Co 2.99
Co 0.2500 0.7595 0.3750  2 Ca 2.81, 2 Sr 2.91, 2 Co 2.99
Co 0.2595 0.2500 0.1250  2 Ca 2.81, 2 Sr 2.91, 2 Co 2.99
Co 0.7405 0.7500 0.1250  2 Ca 2.81, 2 Sr 2.91, 2 Co 2.99
Co 0.7500 0.2405 0.3750  2 Ca 2.81, 2 Sr 2.91, 2 Co 2.99
Co 0.7500 0.2595 0.8750  2 Ca 2.81, 2 Sr 2.91, 2 Co 2.99
Co 0.7595 0.7500 0.6250  2 Ca 2.81, 2 Sr 2.91, 2 Co 2.99

Results
symmetry = No. 122
VASP energy = -3.631 eV/atom
E above lowest polymorph = 635 meV/atom
calculated volume = 22.82 Å³/atom
Fermi-level density of states = 1.434 states/eV per atom
formation energy from the elements = 0.84 eV per atom

***

The following is a DFT calculation (PBE-GGA) of PmPrNdTl after structural relaxation.

Lattice parameters (Å, degrees): 7.9770 7.9770 7.9770 90.00 90.00 90.00
With the nearest neighbours (Å) after each atom.
Sites, in units of the cell vectors:
Pm 0.0000 0.0000 0.0000  4 Pr 3.45, 4 Nd 3.45
Pm 0.0000 0.5000 0.5000  4 Pr 3.45, 4 Nd 3.45
Pm 0.5000 0.0000 0.5000  4 Pr 3.45, 4 Nd 3.45
Pm 0.5000 0.5000 0.0000  4 Pr 3.45, 4 Nd 3.45
Pr 0.2500 0.2500 0.2500  4 Tl 3.45, 4 Pm 3.45
Pr 0.2500 0.7500 0.7500  4 Tl 3.45, 4 Pm 3.45
Pr 0.7500 0.2500 0.7500  4 Tl 3.45, 4 Pm 3.45
Pr 0.7500 0.7500 0.2500  4 Tl 3.45, 4 Pm 3.45
Nd 0.2500 0.2500 0.7500  4 Tl 3.45, 4 Pm 3.45
Nd 0.2500 0.7500 0.2500  4 Tl 3.45, 4 Pm 3.45
Nd 0.7500 0.2500 0.2500  4 Tl 3.45, 4 Pm 3.45
Nd 0.7500 0.7500 0.7500  4 Pm 3.45, 4 Tl 3.45
Tl 0.0000 0.0000 0.5000  4 Pr 3.45, 4 Nd 3.45
Tl 0.0000 0.5000 0.0000  4 Pr 3.45, 4 Nd 3.45
Tl 0.5000 0.0000 0.0000  4 Pr 3.45, 4 Nd 3.45
Tl 0.5000 0.5000 0.5000  4 Pr 3.45, 4 Nd 3.45

Results
symmetry = No. 216
VASP energy = -4.224 eV/atom
E above lowest polymorph = 146 meV/atom
calculated volume = 31.72 Å³/atom
Fermi-level density of states = 1.463 states/eV per atom
formation energy from the elements = -0.06 eV per atom

***

The following is a DFT calculation (PBE-GGA) of BaSO3 after structural relaxation.

Lattice parameters (Å, degrees): 3.9711 3.9711 3.9711 90.00 90.00 90.00
With the nearest neighbours (Å) after each atom.
Sites, in units of the cell vectors:
Ba 0.0000 0.0000 0.0000  12 O 2.81
S 0.5000 0.5000 0.5000  6 O 1.99
O 0.0000 0.5000 0.5000  2 S 1.99
O 0.5000 0.0000 0.5000  2 S 1.99
O 0.5000 0.5000 0.0000  2 S 1.99

Results
ΔE_f (raw) = -1.27 eV per atom
symmetry = No. 221
VASP energy = -5.457 eV/atom
calculated volume = 12.52 Å³/atom
Fermi-level density of states = 0.072 states/eV per atom

***

The following is a DFT calculation (PBE-GGA) of LaDyGaRh after structural relaxation.

Lattice parameters (Å, degrees): 4.3214 4.3579 10.3029 90.00 90.00 90.00
With the nearest neighbours (Å) after each atom.
Sites, in units of the cell vectors:
La 0.0000 0.0000 0.0000  1 Rh 2.67
La 0.0000 0.5000 0.5000  1 Rh 2.67
Dy 0.5000 0.0000 0.2906  3 Ga 3.00-3.09, 4 Rh 3.11
Dy 0.5000 0.5000 0.7906  3 Ga 3.00-3.09, 4 Rh 3.11
Ga 0.5000 0.0000 0.5909  2 Rh 2.66
Ga 0.5000 0.5000 0.0909  2 Rh 2.66
Rh 0.0000 0.0000 0.7407  2 Ga 2.66, 1 La 2.67
Rh 0.0000 0.5000 0.2407  2 Ga 2.66, 1 La 2.67

Results
symmetry = No. 38
VASP energy = -5.669 eV/atom
E above lowest polymorph = 0 meV/atom
calculated volume = 24.25 Å³/atom
Fermi-level density of states = 0.811 states/eV per atom
formation energy from the elements = -0.69 eV per atom

***

Repeat the first record exactly.
The following is a DFT calculation (PBE-GGA) of SrCaCo2 after structural relaxation.

Lattice parameters (Å, degrees): 7.8142 7.8142 5.9794 90.00 90.00 90.00
With the nearest neighbours (Å) after each atom.
Sites, in units of the cell vectors:
Sr 0.0000 0.0000 0.0000  4 Co 2.91, 2 Ca 2.99
Sr 0.0000 0.5000 0.2500  4 Co 2.91, 2 Ca 2.99
Sr 0.5000 0.0000 0.7500  4 Co 2.91, 2 Ca 2.99
Sr 0.5000 0.5000 0.5000  4 Co 2.91, 2 Ca 2.99
Ca 0.0000 0.0000 0.5000  4 Co 2.81, 2 Sr 2.99
Ca 0.0000 0.5000 0.7500  4 Co 2.81, 2 Sr 2.99
Ca 0.5000 0.0000 0.2500  4 Co 2.81, 2 Sr 2.99
Ca 0.5000 0.5000 0.0000  4 Co 2.81, 2 Sr 2.99
Co 0.2405 0.2500 0.6250  2 Ca 2.81, 2 Sr 2.91, 2 Co 2.99
Co 0.2500 0.7405 0.8750  2 Ca 2.81, 2 Sr 2.91, 2 Co 2.99
Co 0.2500 0.7595 0.3750  2 Ca 2.81, 2 Sr 2.91, 2 Co 2.99
Co 0.2595 0.2500 0.1250  2 Ca 2.81, 2 Sr 2.91, 2 Co 2.99
Co 0.7405 0.7500 0.1250  2 Ca 2.81, 2 Sr 2.91, 2 Co 2.99
Co 0.7500 0.2405 0.3750  2 Ca 2.81, 2 Sr 2.91, 2 Co 2.99
Co 0.7500 0.2595 0.8750  2 Ca 2.81, 2 Sr 2.91, 2 Co 2.99
Co 0.7595 0.7500 0.6250  2 Ca 2.81, 2 Sr 2.91, 2 Co 2.99

Results
symmetry = No. 122
VASP energy = -3.631 eV/atom
E above lowest polymorph = 635 meV/atom
calculated volume = 22.82 Å³/atom
Fermi-level density of states = 1.434 states/eV per atom
formation energy from the elements = 0.84 eV per atom